PBEsol RbRuS2Cl, relaxed; formation energy (no corrections) = 1.73 eV/atom; spin magnetization = 4.15 Bohr magnetons per cell
1.0
5.523 0.000 0.000
0.000 5.236 0.000
0.000 0.000 5.236
Ru S Rb Cl
1 2 1 1
Direct
0.500 0.500 0.500 Ru
0.000 0.000 0.500 S
0.000 0.500 0.000 S
0.000 0.000 0.000 Rb
0.500 0.000 0.000 Cl

***

PBEsol RbSbS2Cl, relaxed; formation energy (no corrections) = -0.66 eV/atom; spin magnetization = 0.00 Bohr magnetons per cell
1.0
5.053 0.000 0.000
0.000 5.053 0.000
0.000 0.000 5.387
Sb S Rb Cl
1 2 1 1
Direct
0.000 0.000 0.000 Sb
0.000 0.500 0.000 S
0.500 0.000 0.000 S
0.500 0.500 0.500 Rb
0.000 0.000 0.500 Cl

***

PBEsol RbSiSCl2, relaxed; formation energy (no corrections) = -0.96 eV/atom; spin magnetization = 0.00 Bohr magnetons per cell
1.0
4.517 0.000 0.000
0.000 5.033 0.000
0.000 0.000 5.033
S Si Rb Cl
1 1 1 2
Direct
0.500 0.000 0.000 S
0.000 0.000 0.000 Si
0.500 0.500 0.500 Rb
0.000 0.000 0.500 Cl
0.000 0.500 0.000 Cl

***

Fermi-level density of states? In order: 5.8; 1.9; 0.8 states/eV/cell.